12
Lattice="-3.582 0.540 -0.616 -0.621 -6.894 -2.435 0.343 -0.942 8.136" Properties=species:S:1:pos:R:3 comment="PmPr3Th2N6, relaxed, DFT GGA-PBE" e_form_raw_ev_per_atom=-1.47 spacegroup=C2/m pbc="T T T"
Pm -1.791 0.270 -0.308
Pr -2.101 -3.177 -1.526
Pr -2.864 -1.318 4.538
Pr -0.996 -5.977 0.547
Th -3.177 -4.800 3.301
Th -0.683 -2.495 1.784
N -1.532 -6.691 3.036
N -2.640 -3.902 0.967
N -2.328 -0.605 2.049
N -0.170 -1.725 -0.526
N -3.690 -5.570 5.611
N -1.220 -3.393 4.118

---

12
Lattice="-1.764 1.209 2.877 2.115 -9.687 5.368 7.244 8.601 0.825" Properties=species:S:1:pos:R:3 comment="RbTl9Pb2, relaxed, DFT GGA-PBE" spacegroup=P6/mmm formation_enthalpy_0k_ev_per_atom=-0.0159 pbc="T T T"
Rb 0.000 0.000 0.000
Tl 3.622 4.300 0.413
Tl 4.679 -0.543 3.097
Tl 1.057 -4.843 2.684
Tl 1.194 -1.344 3.530
Tl 5.434 5.897 3.086
Tl 2.122 1.964 2.708
Tl 5.473 -1.841 6.362
Tl 2.161 -5.774 5.985
Tl 6.401 1.468 5.540
Pb 5.534 2.505 2.340
Pb 3.824 -3.591 3.854

---

4
Lattice="-1.677 3.098 -0.924 -0.789 -1.402 -3.267 -5.045 -2.099 2.119" Properties=species:S:1:pos:R:3 comment="Sc2WAu, relaxed, DFT GGA-PBE" de_polymorph_mev_per_atom=289 spacegroup=P4mm formation_enthalpy_0k_ev_per_atom=0.0964 pbc="T T T"
Au -5.074 -0.750 -0.482
Sc -4.927 -2.050 2.070
Sc -2.659 0.255 -1.497
W -2.420 -1.007 1.017

---

For the records above, the corresponding total moment values read 0.000; 0.000; 0.000 μB per formula unit.
For the records above, the corresponding volume values read 17.5; 32.9; 19.4 A^3/atom.